[1]
DFT (GGA-PBE) results for crystalline NaTbIn at its relaxed geometry.

a = 7.0212 Å, b = 7.0212 Å, c = 7.0212 Å
α = 90.00°, β = 90.00°, γ = 90.00°
Space group F-43m (No. 216)
Inequivalent atoms, fractional coordinates:
Na 0.0000 0.0000 0.0000
Tb 0.2500 0.2500 0.2500
In 0.2500 0.2500 0.7500

Computed properties:
V = 346 Å³ per cell
density = 5.69 g/cm³
total energy = -31.37 eV for the cell shown


[2]
DFT (GGA-PBE) results for crystalline NaTbInTe3 at its relaxed geometry.

a = 4.4277 Å, b = 15.3119 Å, c = 11.3924 Å
α = 90.00°, β = 90.00°, γ = 90.00°
Space group Cmcm (No. 63)
Inequivalent atoms, fractional coordinates:
Na 0.0000 0.2300 0.2500
Tb 0.0000 0.0000 0.0000
In 0.0000 0.4758 0.7500
Te 0.0000 0.1042 0.7500
Te 0.0000 0.3591 0.5494

Computed properties:
V = 772 Å³ per cell
density = 5.84 g/cm³
total energy = -91.47 eV for the cell shown


[3]
DFT (GGA-PBE) results for crystalline NaInTc at its relaxed geometry.

a = 6.6325 Å, b = 6.6325 Å, c = 6.6325 Å
α = 90.00°, β = 90.00°, γ = 90.00°
Space group F-43m (No. 216)
Inequivalent atoms, fractional coordinates:
Na 0.0000 0.0000 0.0000
In 0.0000 0.0000 0.5000
Tc 0.2500 0.2500 0.7500

Computed properties:
V = 292 Å³ per cell
density = 5.37 g/cm³
total energy = -46.09 eV for the cell shown
excess energy over the best structure of this formula in the dataset = 0 meV/atom


[4]
DFT (GGA-PBE) results for crystalline NaInTc at its relaxed geometry.

a = 6.5500 Å, b = 6.5500 Å, c = 6.5500 Å
α = 90.00°, β = 90.00°, γ = 90.00°
Space group F-43m (No. 216)
Inequivalent atoms, fractional coordinates:
Na 0.0000 0.0000 0.0000
In 0.2500 0.2500 0.7500
Tc 0.2500 0.2500 0.2500

Computed properties:
V = 281 Å³ per cell
density = 5.57 g/cm³
total energy = -42.08 eV for the cell shown
excess energy over the best structure of this formula in the dataset = 334 meV/atom


[5]
DFT (GGA-PBE) results for crystalline Na2ZrInTe4 at its relaxed geometry.

a = 7.1543 Å, b = 7.1543 Å, c = 12.5126 Å
α = 90.00°, β = 90.00°, γ = 90.00°
Space group I-4 (No. 82)
Inequivalent atoms, fractional coordinates:
Na 0.0000 0.0000 0.0000
Na 0.0000 0.5000 0.2500
Zr 0.0000 0.0000 0.5000
In 0.0000 0.5000 0.7500
Te 0.2204 0.2407 0.6192

Computed properties:
V = 640 Å³ per cell
density = 3.95 g/cm³
total energy = -63.21 eV for the cell shown


[6]
DFT (GGA-PBE) results for crystalline NaThIn at its relaxed geometry.

a = 7.3534 Å, b = 7.3534 Å, c = 7.3534 Å
α = 90.00°, β = 90.00°, γ = 90.00°
Space group F-43m (No. 216)
Inequivalent atoms, fractional coordinates:
Na 0.0000 0.0000 0.0000
Th 0.0000 0.0000 0.5000
In 0.2500 0.2500 0.2500

Computed properties:
V = 398 Å³ per cell
density = 6.18 g/cm³
total energy = -42.58 eV for the cell shown


[7]
DFT (GGA-PBE) results for crystalline Na4Zn3In at its relaxed geometry.

a = 4.9891 Å, b = 4.9891 Å, c = 7.0289 Å
α = 90.00°, β = 90.00°, γ = 90.00°
Space group P-4m2 (No. 115)
Inequivalent atoms, fractional coordinates:
Na 0.0000 0.0000 0.0000
Na 0.0000 0.5000 0.7338
Na 0.5000 0.5000 0.5000
Zn 0.0000 0.0000 0.5000
Zn 0.0000 0.5000 0.2532
In 0.5000 0.5000 0.0000

Computed properties:
V = 175 Å³ per cell
density = 3.82 g/cm³
total energy = -11.67 eV for the cell shown


[8]
DFT (GGA-PBE) results for crystalline NaZnIn at its relaxed geometry.

a = 6.8814 Å, b = 6.8814 Å, c = 6.8814 Å
α = 90.00°, β = 90.00°, γ = 90.00°
Space group F-43m (No. 216)
Inequivalent atoms, fractional coordinates:
Na 0.0000 0.0000 0.0000
Zn 0.2500 0.2500 0.2500
In 0.2500 0.2500 0.7500

Computed properties:
V = 326 Å³ per cell
density = 4.14 g/cm³
total energy = -17.57 eV for the cell shown


[9]
DFT (GGA-PBE) results for crystalline Nb2In at its relaxed geometry.

a = 7.8572 Å, b = 7.8572 Å, c = 7.8572 Å
α = 90.00°, β = 90.00°, γ = 90.00°
Space group Fd-3m (No. 227, origin choice 2)
Inequivalent atoms, fractional coordinates:
Nb 0.0000 0.0000 0.0000
In 0.1250 0.1250 0.6250

Computed properties:
V = 485 Å³ per cell
density = 8.23 g/cm³
total energy = -176.66 eV for the cell shown
excess energy over the best structure of this formula in the dataset = 0 meV/atom


[10]
DFT (GGA-PBE) results for crystalline NbIn at its relaxed geometry.

a = 3.0812 Å, b = 3.0812 Å, c = 4.9127 Å
α = 90.00°, β = 90.00°, γ = 120.00°
Space group P-6m2 (No. 187)
Inequivalent atoms, fractional coordinates:
Nb 0.0000 0.0000 0.0000
In 0.3333 0.6667 0.5000

Computed properties:
V = 40 Å³ per cell
density = 8.54 g/cm³
total energy = -12.55 eV for the cell shown


[11]
DFT (GGA-PBE) results for crystalline NbIn at its relaxed geometry.

a = 5.6176 Å, b = 5.6176 Å, c = 5.6176 Å
α = 90.00°, β = 90.00°, γ = 90.00°
Space group Fm-3m (No. 225)
Inequivalent atoms, fractional coordinates:
Nb 0.0000 0.0000 0.0000
In 0.0000 0.0000 0.5000

Computed properties:
V = 177 Å³ per cell
density = 7.78 g/cm³
total energy = -46.15 eV for the cell shown


[12]
DFT (GGA-PBE) results for crystalline NbIn at its relaxed geometry.

a = 6.2770 Å, b = 6.2770 Å, c = 6.2770 Å
α = 90.00°, β = 90.00°, γ = 90.00°
Space group F-43m (No. 216)
Inequivalent atoms, fractional coordinates:
Nb 0.0000 0.0000 0.0000
In 0.2500 0.2500 0.2500

Computed properties:
V = 247 Å³ per cell
density = 5.58 g/cm³
total energy = -36.75 eV for the cell shown


> The lowest V belongs to which entry?

number 10


> The lowest total energy belongs to which entry?

Nb2In


> Which of these has the highest V?

NaTbInTe3